Ce4Y3Ru4 | GGA-PBE | relaxed

The value obtained for the total magnetic moment is 0.00 Bohr magnetons per cell. The calculation puts the formation enthalpy at 0 K at -0.312 eV per atom.

The structure belongs to space group Immm (No. 71); the cell edges are 3.638, 9.546 and 14.761 Å and the angles 90.00°, 90.00° and 90.00°. Symmetry generates all atoms from Ce at (0.000, 0.196, 0.163), Y at (0.000, 0.000, 0.387), Y at (0.000, 0.500, 0.500), Ru at (0.000, 0.287, 0.000) and Ru at (0.000, 0.500, 0.289).